This record from the Alexandria database describes a geometry-optimized NaHgBr2 structure. The functional is GGA-PBEsol.

Lattice parameters (Å, degrees): 7.3879 7.3879 7.3879 90.00 90.00 90.00
Space group Fm-3m (No. 225)
Inequivalent atoms, fractional coordinates:
Na1 0.0000 0.0000 0.0000 [4 per cell]
Hg1 0.0000 0.0000 0.5000 [4 per cell]
Br1 0.2500 0.2500 0.2500 [8 per cell]

Properties
* electronic total energy: -2.1043 eV/atom
* N(E_F): 11.506 states/eV/cell
* E_form (uncorrected): -0.68 eV/atom

This record from the Alexandria database describes a geometry-optimized AgSnC2 structure. The functional is GGA-PBEsol.

Lattice parameters (Å, degrees): 4.8233 4.8233 10.4838 90.00 90.00 90.00
Space group I-42d (No. 122)
Inequivalent atoms, fractional coordinates:
Ag1 0.0000 0.0000 0.0000 [4 per cell]
Sn1 0.0000 0.0000 0.5000 [4 per cell]
C1 0.2398 0.2500 0.1250 [8 per cell]

Properties
* electronic total energy: -5.0973 eV/atom
* N(E_F): 6.789 states/eV/cell

This record from the Alexandria database describes a geometry-optimized Cd2CoRh structure. The functional is GGA-PBEsol.

Lattice parameters (Å, degrees): 3.1358 3.1358 6.1895 90.00 90.00 90.00
Space group P4/mmm (No. 123)
Inequivalent atoms, fractional coordinates:
Cd1 0.0000 0.0000 0.2414 [2 per cell]
Co1 0.5000 0.5000 0.0000 [1 per cell]
Rh1 0.5000 0.5000 0.5000 [1 per cell]

Properties
* electronic total energy: -4.3823 eV/atom
* N(E_F): 6.553 states/eV/cell

This record from the Alexandria database describes a geometry-optimized CuSi2As structure. The functional is GGA-PBEsol.

Lattice parameters (Å, degrees): 2.7711 2.7711 26.4487 90.00 90.00 120.00
Space group R-3m (No. 166, hexagonal axes)
Inequivalent atoms, fractional coordinates:
Cu1 0.0000 0.0000 0.0000 [3 per cell]
Si1 0.0000 0.0000 0.2600 [6 per cell]
As1 0.0000 0.0000 0.5000 [3 per cell]

Properties
* energy above the most stable polymorph in this dataset: 0.0 meV per atom
* electronic total energy: -4.9183 eV/atom
* N(E_F): 4.017 states/eV/cell
* E_form (uncorrected): 0.32 eV/atom

This record from the Alexandria database describes a geometry-optimized CoTeBr structure. The functional is GGA-PBEsol.

Lattice parameters (Å, degrees): 3.5761 3.5761 18.4527 90.00 90.00 120.00
Space group R3m (No. 160, hexagonal axes)
Inequivalent atoms, fractional coordinates:
Co1 0.0000 0.0000 0.0000 [3 per cell]
Te1 0.0000 0.0000 0.7401 [3 per cell]
Br1 0.0000 0.0000 0.2580 [3 per cell]

Properties
* electronic total energy: -4.6287 eV/atom
* E_form (uncorrected): -0.25 eV/atom

This record from the Alexandria database describes a geometry-optimized MnTl2Au structure. The functional is GGA-PBEsol.

Lattice parameters (Å, degrees): 3.3119 3.3119 7.7858 90.00 90.00 90.00
Space group P4mm (No. 99)
Inequivalent atoms, fractional coordinates:
Mn1 0.0000 0.0000 0.0000 [1 per cell]
Tl1 0.0000 0.0000 0.5720 [1 per cell]
Tl2 0.5000 0.5000 0.2432 [1 per cell]
Au1 0.5000 0.5000 0.8343 [1 per cell]

Properties
* energy above the most stable polymorph in this dataset: 0.0 meV per atom
* electronic total energy: -4.5304 eV/atom
* N(E_F): 1.880 states/eV/cell

This record from the Alexandria database describes a geometry-optimized Zr2AlNi3 structure. The functional is GGA-PBEsol.

Lattice parameters (Å, degrees): 5.0228 5.0228 7.8180 90.00 90.00 120.00
Space group P6_3/mmc (No. 194)
Inequivalent atoms, fractional coordinates:
Zr1 0.3333 0.6667 0.0567 [4 per cell]
Al1 0.0000 0.0000 0.0000 [2 per cell]
Ni1 0.1706 0.3412 0.7500 [6 per cell]

Properties
* electronic total energy: -7.3306 eV/atom
* N(E_F): 10.091 states/eV/cell

This record from the Alexandria database describes a geometry-optimized MgAsSe2S structure. The functional is GGA-PBEsol.

Lattice parameters (Å, degrees): 4.8005 4.8005 5.0498 90.00 90.00 90.00
Space group P4/mmm (No. 123)
Inequivalent atoms, fractional coordinates:
Mg1 0.0000 0.0000 0.0000 [1 per cell]
As1 0.0000 0.0000 0.5000 [1 per cell]
Se1 0.0000 0.5000 0.0000 [2 per cell]
S1 0.5000 0.5000 0.5000 [1 per cell]

Properties
* electronic total energy: -3.0670 eV/atom
* N(E_F): 5.975 states/eV/cell
* E_form (uncorrected): 0.71 eV/atom

> Among the records above, which one has the highest electronic total energy?

NaHgBr2

> What is the electronic total energy in the second record?

-5.0973 eV/atom